Entry P
First-principles (PBE) data for a relaxed structure of Mg2Ta, as listed in Alexandria.

The space group is Pnma (No. 62) and the conventional cell measures 6.2629, 4.0569 and 9.4445 Å, with angles of 90.00, 90.00 and 90.00 degrees. Symmetry generates all atoms from Mg at (0.1222, 0.2500, 0.0834), Mg at (0.1420, 0.2500, 0.7486) and Ta at (0.0971, 0.2500, 0.4261).

The density comes out at 6354 kg/m³.

Entry Q
First-principles (PBE) data for a relaxed structure of Mg2Ta, as listed in Alexandria.

The space group is I4_1/amd (No. 141, origin choice 2) and the conventional cell measures 2.8939, 2.8939 and 29.7757 Å, with angles of 90.00, 90.00 and 90.00 degrees. Symmetry generates all atoms from Mg at (0.0000, 0.2500, 0.2991) and Ta at (0.0000, 0.2500, 0.8750).

The density comes out at 6115 kg/m³.

Entry R
First-principles (PBE) data for a relaxed structure of Mg2Ta, as listed in Alexandria.

The space group is Pa-3 (No. 205) and the conventional cell measures 6.7805, 6.7805 and 6.7805 Å, with angles of 90.00, 90.00 and 90.00 degrees. Symmetry generates all atoms from Mg at (0.1322, 0.1322, 0.1322) and Ta at (0.0000, 0.0000, 0.5000).

The density comes out at 4891 kg/m³.

Q: Which of them is the most stable? A: entry Q.

Entry P
First-principles (PBE) data for a relaxed structure of Mg2Ta, as listed in Alexandria.

The space group is Fd-3m (No. 227, origin choice 2) and the conventional cell measures 7.6892, 7.6892 and 7.6892 Å, with angles of 90.00, 90.00 and 90.00 degrees. Symmetry generates all atoms from Mg at (0.0000, 0.0000, 0.0000) and Ta at (0.1250, 0.1250, 0.6250).

The density comes out at 6708 kg/m³.

Entry Q
First-principles (PBE) data for a relaxed structure of Mg2Ta, as listed in Alexandria.

The space group is C2/m (No. 12) and the conventional cell measures 10.7086, 2.9793 and 7.7537 Å, with angles of 90.00, 104.27 and 90.00 degrees. Symmetry generates all atoms from Mg at (0.0291, 0.0000, 0.2981), Mg at (0.1980, 0.5000, 0.6489) and Ta at (0.1402, 0.5000, 0.0203).

The density comes out at 6360 kg/m³.

Entry R
First-principles (PBE) data for a relaxed structure of Mg2Ta, as listed in Alexandria.

The space group is Cmcm (No. 63) and the conventional cell measures 2.8093, 16.2508 and 5.1855 Å, with angles of 90.00, 90.00 and 90.00 degrees. Symmetry generates all atoms from Mg at (0.0000, 0.0571, 0.2500), Mg at (0.0000, 0.2774, 0.7500) and Ta at (0.0000, 0.3926, 0.2500).

The density comes out at 6441 kg/m³.

Q: Which of them is the most stable? A: entry Q.

Entry P
First-principles (PBE) data for a relaxed structure of Mg2Ta, as listed in Alexandria.

The space group is I4/mmm (No. 139) and the conventional cell measures 2.9065, 2.9065 and 14.2025 Å, with angles of 90.00, 90.00 and 90.00 degrees. Symmetry generates all atoms from Mg at (0.0000, 0.0000, 0.1590) and Ta at (0.0000, 0.0000, 0.5000).

The density comes out at 6354 kg/m³.

Entry Q
First-principles (PBE) data for a relaxed structure of Mg2Ta, as listed in Alexandria.

The space group is P6_3/mmc (No. 194) and the conventional cell measures 4.8479, 4.8479 and 5.7682 Å, with angles of 90.00, 90.00 and 120.00 degrees. Symmetry generates all atoms from Mg at (0.0000, 0.0000, 0.0000), Mg at (0.3333, 0.6667, 0.2500) and Ta at (0.3333, 0.6667, 0.7500).

The density comes out at 6494 kg/m³.

Q: Which of them is the most stable? A: entry P.

Entry P
First-principles (PBE) data for a relaxed structure of Mg5Ta4, as listed in Alexandria.

The space group is P6_3/mcm (No. 193) and the conventional cell measures 8.4232, 8.4232 and 5.7842 Å, with angles of 90.00, 90.00 and 120.00 degrees. Symmetry generates all atoms from Mg at (0.0000, 0.3707, 0.2500), Mg at (0.3333, 0.6667, 0.0000), Ta at (0.0000, 0.0000, 0.0000) and Ta at (0.0000, 0.2818, 0.7500).

The density comes out at 7899 kg/m³.

Entry Q
First-principles (PBE) data for a relaxed structure of Mg5Ta4, as listed in Alexandria.

The space group is I4/mmm (No. 139) and the conventional cell measures 10.1795, 10.1795 and 3.4618 Å, with angles of 90.00, 90.00 and 90.00 degrees. Symmetry generates all atoms from Mg at (0.0000, 0.0000, 0.0000), Mg at (0.1696, 0.1696, 0.5000) and Ta at (0.0000, 0.3494, 0.0000).

The density comes out at 7826 kg/m³.

Q: Which of them is the most stable? A: entry Q.

Entry P
First-principles (PBE) data for a relaxed structure of Mg2Ta3, as listed in Alexandria.

The space group is Fdd2 (No. 43) and the conventional cell measures 9.8812, 14.0018 and 5.5511 Å, with angles of 90.00, 90.00 and 90.00 degrees. Symmetry generates all atoms from Mg at (0.0396, 0.1987, 0.0000), Ta at (0.0000, 0.0000, 0.1054) and Ta at (0.0511, 0.1023, 0.5176).

The density comes out at 10230 kg/m³.

Entry Q
First-principles (PBE) data for a relaxed structure of Mg2Ta3, as listed in Alexandria.

The space group is P-3m1 (No. 164) and the conventional cell measures 4.5230, 4.5230 and 5.6257 Å, with angles of 90.00, 90.00 and 120.00 degrees. Symmetry generates all atoms from Mg at (0.3333, 0.6667, 0.3506), Ta at (0.0000, 0.0000, 0.5000) and Ta at (0.3333, 0.6667, 0.8616).

The density comes out at 9854 kg/m³.

Entry R
First-principles (PBE) data for a relaxed structure of Mg2Ta3, as listed in Alexandria.

The space group is R-3m (No. 166, hexagonal axes) and the conventional cell measures 2.9213, 2.9213 and 38.7474 Å, with angles of 90.00, 90.00 and 120.00 degrees. Symmetry generates all atoms from Mg at (0.0000, 0.0000, 0.0999), Ta at (0.0000, 0.0000, 0.3003) and Ta at (0.0000, 0.0000, 0.5000).

The density comes out at 10289 kg/m³.

Q: Which of them is the most stable? A: entry R.

Entry P
First-principles (PBE) data for a relaxed structure of Mg3Ta4, as listed in Alexandria.

The space group is I4/mmm (No. 139) and the conventional cell measures 3.4634, 3.4634 and 23.2948 Å, with angles of 90.00, 90.00 and 90.00 degrees. Symmetry generates all atoms from Mg at (0.0000, 0.0000, 0.0000), Mg at (0.0000, 0.0000, 0.2903), Ta at (0.0000, 0.0000, 0.1304) and Ta at (0.0000, 0.0000, 0.4230).

The density comes out at 9469 kg/m³.

Entry Q
First-principles (PBE) data for a relaxed structure of Mg3Ta4, as listed in Alexandria.

The space group is P6/mmm (No. 191) and the conventional cell measures 5.2805, 5.2805 and 5.3573 Å, with angles of 90.00, 90.00 and 120.00 degrees. Symmetry generates all atoms from Mg at (0.0000, 0.5000, 0.0000), Ta at (0.0000, 0.0000, 0.2690) and Ta at (0.3333, 0.6667, 0.5000).

The density comes out at 10226 kg/m³.

Q: Which of them is the most stable? A: entry P.

Entry P
First-principles (PBE) data for a relaxed structure of MgTa3Tc, as listed in Alexandria.

The space group is Pm-3m (No. 221) and the conventional cell measures 4.6362, 4.6362 and 4.6362 Å, with angles of 90.00, 90.00 and 90.00 degrees. Symmetry generates all atoms from Mg at (0.0000, 0.0000, 0.0000), Ta at (0.0000, 0.0000, 0.5000) and Tc at (0.5000, 0.5000, 0.5000).

The density comes out at 11083 kg/m³.

Entry Q
First-principles (PBE) data for a relaxed structure of MgTa3Tc, as listed in Alexandria.

The space group is Pm-3m (No. 221) and the conventional cell measures 4.8320, 4.8320 and 4.8320 Å, with angles of 90.00, 90.00 and 90.00 degrees. Symmetry generates all atoms from Mg at (0.0000, 0.0000, 0.0000), Ta at (0.0000, 0.5000, 0.5000) and Tc at (0.5000, 0.5000, 0.5000).

The density comes out at 9790 kg/m³.

Q: Which of them is the most stable? A: entry Q.

Entry P
First-principles (PBE) data for a relaxed structure of MgTaTc, as listed in Alexandria.

The space group is Fmm2 (No. 42) and the conventional cell measures 3.2121, 4.7563 and 13.7495 Å, with angles of 90.00, 90.00 and 90.00 degrees. Symmetry generates all atoms from Mg at (0.0000, 0.0000, 0.0000), Ta at (0.0000, 0.0000, 0.6863) and Tc at (0.0000, 0.0000, 0.3338).

The density comes out at 9589 kg/m³.

Entry Q
First-principles (PBE) data for a relaxed structure of MgTaTc, as listed in Alexandria.

The space group is F-43m (No. 216) and the conventional cell measures 6.1874, 6.1874 and 6.1874 Å, with angles of 90.00, 90.00 and 90.00 degrees. Symmetry generates all atoms from Mg at (0.0000, 0.0000, 0.0000), Ta at (0.0000, 0.0000, 0.5000) and Tc at (0.2500, 0.2500, 0.7500).

The density comes out at 8503 kg/m³.

Q: Which of them is the most stable? A: entry P.

Entry P
First-principles (PBE) data for a relaxed structure of MgTaTc, as listed in Alexandria.

The space group is I4mm (No. 107) and the conventional cell measures 2.7420, 2.7420 and 13.7966 Å, with angles of 90.00, 90.00 and 90.00 degrees. Symmetry generates all atoms from Mg at (0.0000, 0.0000, 0.0000), Ta at (0.0000, 0.0000, 0.6785) and Tc at (0.0000, 0.0000, 0.3407).

The density comes out at 9709 kg/m³.

Entry Q
First-principles (PBE) data for a relaxed structure of MgTaTc, as listed in Alexandria.

The space group is F-43m (No. 216) and the conventional cell measures 6.2423, 6.2423 and 6.2423 Å, with angles of 90.00, 90.00 and 90.00 degrees. Symmetry generates all atoms from Mg at (0.0000, 0.0000, 0.0000), Ta at (0.2500, 0.2500, 0.2500) and Tc at (0.0000, 0.0000, 0.5000).

The density comes out at 8281 kg/m³.

Q: Which of them is the most stable? A: entry P.

Entry P
First-principles (PBE) data for a relaxed structure of MgTa2Tc2, as listed in Alexandria.

The space group is P4/mbm (No. 127) and the conventional cell measures 7.5639, 7.5639 and 3.1062 Å, with angles of 90.00, 90.00 and 90.00 degrees. Symmetry generates all atoms from Mg at (0.0000, 0.0000, 0.0000), Ta at (0.1493, 0.3507, 0.5000) and Tc at (0.1455, 0.6455, 0.0000).

The density comes out at 10880 kg/m³.

Entry Q
First-principles (PBE) data for a relaxed structure of MgTa2Tc2, as listed in Alexandria.

The space group is I4/mmm (No. 139) and the conventional cell measures 4.1990, 4.1990 and 11.5200 Å, with angles of 90.00, 90.00 and 90.00 degrees. Symmetry generates all atoms from Mg at (0.0000, 0.0000, 0.0000), Ta at (0.0000, 0.0000, 0.3758) and Tc at (0.0000, 0.5000, 0.2500).

The density comes out at 9519 kg/m³.

Q: Which of them is the most stable? A: entry P.

Entry P
First-principles (PBE) data for a relaxed structure of MgTaTe, as listed in Alexandria.

The space group is P3m1 (No. 156) and the conventional cell measures 3.4118, 3.4118 and 6.8564 Å, with angles of 90.00, 90.00 and 120.00 degrees. Symmetry generates all atoms from Mg at (0.0000, 0.0000, 0.0000), Ta at (0.3333, 0.6667, 0.3290) and Te at (0.6667, 0.3333, 0.6102).

The density comes out at 7997 kg/m³.

Entry Q
First-principles (PBE) data for a relaxed structure of MgTaTe, as listed in Alexandria.

The space group is Fmm2 (No. 42) and the conventional cell measures 3.7882, 5.0884 and 14.5121 Å, with angles of 90.00, 90.00 and 90.00 degrees. Symmetry generates all atoms from Mg at (0.0000, 0.0000, 0.0000), Ta at (0.0000, 0.0000, 0.6495) and Te at (0.0000, 0.0000, 0.2908).

The density comes out at 7903 kg/m³.

Entry R
First-principles (PBE) data for a relaxed structure of MgTaTe, as listed in Alexandria.

The space group is I4mm (No. 107) and the conventional cell measures 3.5254, 3.5254 and 9.8375 Å, with angles of 90.00, 90.00 and 90.00 degrees. Symmetry generates all atoms from Mg at (0.0000, 0.0000, 0.0000), Ta at (0.0000, 0.0000, 0.6745) and Te at (0.0000, 0.0000, 0.3166).

The density comes out at 9041 kg/m³.

Q: Which of them is the most stable? A: entry R.